Record 1
{"formula": "Dy2ErPb9", "functional": "PBE-GGA", "state": "optimized geometry", "lattice_angstrom": [[-1.802, -3.887, 2.328], [2.254, -2.943, -3.168], [11.782, -0.284, 8.646]], "species": ["Dy", "Dy", "Er", "Pb", "Pb", "Pb", "Pb", "Pb", "Pb", "Pb", "Pb", "Pb"], "frac_coords": [[0.000, 0.000, 0.334], [0.000, 0.000, 0.666], [0.000, 0.000, 0.000], [0.500, 0.500, 0.000], [0.500, 0.500, 0.333], [0.500, 0.500, 0.667], [0.500, 0.000, 0.166], [0.500, 0.000, 0.500], [0.500, 0.000, 0.834], [0.000, 0.500, 0.166], [0.000, 0.500, 0.500], [0.000, 0.500, 0.834]], "n_ef_per_ev_atom": 0.58, "total_magnetization_mub_per_atom": 0.00, "energy_ha_per_atom": -0.154}

=====

Record 2
{"formula": "Ba3La3Cu6O14", "functional": "PBE-GGA", "state": "optimized geometry", "lattice_angstrom": [[5.656, 0.000, 0.000], [0.000, 5.727, 0.000], [0.000, 0.000, 11.107]], "species": ["Ba", "Ba", "Ba", "La", "La", "La", "Cu", "Cu", "Cu", "Cu", "Cu", "Cu", "O", "O", "O", "O", "O", "O", "O", "O", "O", "O", "O", "O", "O", "O"], "frac_coords": [[0.500, 0.000, 0.832], [0.500, 0.000, 0.168], [0.000, 0.500, 0.500], [0.000, 0.500, 0.838], [0.000, 0.500, 0.162], [0.500, 0.000, 0.500], [0.000, 0.000, 0.652], [0.000, 0.000, 0.348], [0.000, 0.000, 0.000], [0.500, 0.500, 0.000], [0.500, 0.500, 0.661], [0.500, 0.500, 0.339], [0.500, 0.500, 0.835], [0.500, 0.500, 0.165], [0.247, 0.235, 0.655], [0.753, 0.765, 0.655], [0.753, 0.235, 0.655], [0.247, 0.765, 0.655], [0.753, 0.765, 0.345], [0.247, 0.235, 0.345], [0.247, 0.765, 0.345], [0.753, 0.235, 0.345], [0.216, 0.255, 0.000], [0.784, 0.745, 0.000], [0.784, 0.255, 0.000], [0.216, 0.745, 0.000]], "n_ef_per_ev_atom": 0.19, "total_magnetization_mub_per_atom": 0.00, "formation_energy_uncorrected_ev_per_atom": -1.816, "energy_ha_per_atom": -0.229}

=====

Record 3
{"formula": "La3Pr2Dy8", "functional": "PBE-GGA", "state": "optimized geometry", "lattice_angstrom": [[-5.205, 1.695, -1.466], [-2.980, -4.064, 5.881], [2.444, 10.269, 3.235]], "species": ["La", "La", "La", "Pr", "Pr", "Dy", "Dy", "Dy", "Dy", "Dy", "Dy", "Dy", "Dy"], "frac_coords": [[0.500, 0.000, 0.000], [0.000, 0.300, 0.000], [0.000, 0.700, 0.000], [0.498, 0.241, 0.483], [0.502, 0.759, 0.517], [0.001, 0.666, 0.333], [0.999, 0.334, 0.667], [0.999, 0.133, 0.266], [0.001, 0.867, 0.734], [0.500, 0.601, 0.784], [0.500, 0.183, 0.784], [0.500, 0.817, 0.216], [0.500, 0.399, 0.216]], "n_ef_per_ev_atom": 1.84, "total_magnetization_mub_per_atom": 0.00, "energy_ha_per_atom": -0.164}

=====

Record 4
{"formula": "GdDyHoOs", "functional": "PBE-GGA", "state": "optimized geometry", "lattice_angstrom": [[5.123, 0.000, 0.000], [2.561, 4.437, 0.000], [2.561, 1.479, 4.183]], "species": ["Gd", "Os", "Ho", "Dy"], "frac_coords": [[0.500, 0.500, 0.500], [0.750, 0.750, 0.750], [0.250, 0.250, 0.250], [0.000, 0.000, 0.000]], "n_ef_per_ev_atom": 1.16, "total_magnetization_mub_per_atom": 1.83, "energy_ha_per_atom": -0.312}

=====

Record 5
{"formula": "TaNiSn", "functional": "PBE-GGA", "state": "optimized geometry", "lattice_angstrom": [[-2.166, -4.073, 3.589], [4.118, -1.428, -3.894], [7.652, 2.314, 7.244]], "species": ["Ta", "Ta", "Ta", "Ta", "Ta", "Ta", "Ni", "Ni", "Ni", "Ni", "Ni", "Ni", "Sn", "Sn", "Sn", "Sn", "Sn", "Sn"], "frac_coords": [[0.500, 0.000, 0.667], [0.000, 0.000, 0.500], [0.000, 0.000, 0.833], [0.000, 0.000, 0.167], [0.500, 0.500, 0.000], [0.000, 0.500, 0.333], [0.386, 0.773, 0.167], [0.773, 0.386, 0.833], [0.614, 0.386, 0.500], [0.614, 0.227, 0.167], [0.386, 0.614, 0.500], [0.227, 0.614, 0.833], [0.500, 0.500, 0.290], [0.000, 0.500, 0.623], [0.500, 0.500, 0.710], [0.000, 0.500, 0.043], [0.500, 0.000, 0.957], [0.500, 0.000, 0.377]], "n_ef_per_ev_atom": 0.88, "total_magnetization_mub_per_atom": 0.00, "energy_ha_per_atom": -0.254}

=====

Record 6
{"formula": "CaInCl", "functional": "PBE-GGA", "state": "optimized geometry", "lattice_angstrom": [[5.078, 0.000, 0.000], [2.539, 4.398, 0.000], [2.539, 1.466, 4.146]], "species": ["Ca", "Cl", "In"], "frac_coords": [[0.500, 0.500, 0.500], [0.250, 0.250, 0.250], [0.000, 0.000, 0.000]], "n_ef_per_ev_atom": 0.36, "total_magnetization_mub_per_atom": 0.00, "formation_energy_uncorrected_ev_per_atom": -0.577, "energy_ha_per_atom": -0.102}

=====

Record 7
{"formula": "HfVW2", "functional": "PBE-GGA", "state": "optimized geometry", "lattice_angstrom": [[3.013, 0.000, 0.000], [0.000, 4.861, 0.000], [-1.506, 0.000, 9.500]], "species": ["Hf", "Hf", "V", "V", "W", "W", "W", "W"], "frac_coords": [[0.384, 0.250, 0.768], [0.616, 0.750, 0.232], [0.149, 0.250, 0.299], [0.851, 0.750, 0.701], [0.754, 0.250, 0.507], [0.246, 0.750, 0.493], [0.021, 0.250, 0.042], [0.979, 0.750, 0.958]], "n_ef_per_ev_atom": 1.19, "total_magnetization_mub_per_atom": 0.00, "energy_ha_per_atom": -0.400}

=====

Record 8
{"formula": "Li5Zn3Rh", "functional": "PBE-GGA", "state": "optimized geometry", "lattice_angstrom": [[-6.497, -0.013, -0.182], [-2.357, -6.040, -0.456], [-3.380, -2.688, 8.042]], "species": ["Li", "Li", "Li", "Li", "Li", "Li", "Li", "Li", "Li", "Li", "Zn", "Zn", "Zn", "Zn", "Zn", "Zn", "Rh", "Rh"], "frac_coords": [[0.056, 0.436, 0.361], [0.320, 0.680, 0.000], [0.744, 0.744, 0.120], [0.482, 0.482, 0.270], [0.518, 0.518, 0.730], [0.256, 0.256, 0.880], [0.436, 0.056, 0.361], [0.680, 0.320, 0.000], [0.944, 0.564, 0.639], [0.564, 0.944, 0.639], [0.857, 0.857, 0.816], [0.630, 0.630, 0.437], [0.000, 0.000, 0.000], [0.000, 0.000, 0.500], [0.143, 0.143, 0.184], [0.370, 0.370, 0.563], [0.116, 0.116, 0.692], [0.884, 0.884, 0.308]], "n_ef_per_ev_atom": 0.37, "total_magnetization_mub_per_atom": 0.00, "energy_ha_per_atom": -0.084}

=====

Record 9
{"formula": "La2Tb3Nd", "functional": "PBE-GGA", "state": "optimized geometry", "lattice_angstrom": [[-3.370, -0.270, -0.443], [1.665, -1.453, -11.780], [1.170, -4.199, 6.781]], "species": ["La", "La", "Tb", "Tb", "Tb", "Nd"], "frac_coords": [[0.833, 0.582, 0.665], [0.167, 0.917, 0.335], [0.000, 0.998, 0.000], [0.334, 0.332, 0.667], [0.666, 0.665, 0.333], [0.500, 0.248, 0.000]], "n_ef_per_ev_atom": 2.05, "total_magnetization_mub_per_atom": 0.00, "energy_ha_per_atom": -0.161}

=====

Record 10
{"formula": "ScCr2BiH", "functional": "PBE-GGA", "state": "optimized geometry", "lattice_angstrom": [[-1.982, 1.473, 3.330], [2.784, -2.938, 2.956], [2.821, 3.018, 0.344]], "species": ["Sc", "Cr", "Cr", "Bi", "H"], "frac_coords": [[0.500, 0.500, 0.500], [0.000, 0.000, 0.500], [0.500, 0.000, 0.000], [0.000, 0.500, 0.000], [0.000, 0.000, 0.000]], "n_ef_per_ev_atom": 0.82, "total_magnetization_mub_per_atom": 1.63, "energy_ha_per_atom": -0.229}

=====

Record 11
{"formula": "Tb6CoCu5", "functional": "PBE-GGA", "state": "optimized geometry", "lattice_angstrom": [[-2.710, -3.995, -0.791], [0.422, 1.071, -6.849], [7.221, -2.608, 3.558]], "species": ["Co", "Tb", "Tb", "Tb", "Tb", "Tb", "Tb", "Cu", "Cu", "Cu", "Cu", "Cu"], "frac_coords": [[0.000, 0.000, 0.000], [0.837, 0.592, 0.675], [0.837, 0.083, 0.675], [0.500, 0.758, 0.000], [0.500, 0.242, 0.000], [0.163, 0.917, 0.325], [0.163, 0.408, 0.325], [0.670, 0.170, 0.340], [0.333, 0.333, 0.667], [0.000, 0.500, 0.000], [0.667, 0.667, 0.333], [0.330, 0.830, 0.660]], "n_ef_per_ev_atom": 0.77, "total_magnetization_mub_per_atom": 0.00, "energy_ha_per_atom": -0.178}

=====

Please write out number 1 again, unchanged.
{"formula": "Dy2ErPb9", "functional": "PBE-GGA", "state": "optimized geometry", "lattice_angstrom": [[-1.802, -3.887, 2.328], [2.254, -2.943, -3.168], [11.782, -0.284, 8.646]], "species": ["Dy", "Dy", "Er", "Pb", "Pb", "Pb", "Pb", "Pb", "Pb", "Pb", "Pb", "Pb"], "frac_coords": [[0.000, 0.000, 0.334], [0.000, 0.000, 0.666], [0.000, 0.000, 0.000], [0.500, 0.500, 0.000], [0.500, 0.500, 0.333], [0.500, 0.500, 0.667], [0.500, 0.000, 0.166], [0.500, 0.000, 0.500], [0.500, 0.000, 0.834], [0.000, 0.500, 0.166], [0.000, 0.500, 0.500], [0.000, 0.500, 0.834]], "n_ef_per_ev_atom": 0.58, "total_magnetization_mub_per_atom": 0.00, "energy_ha_per_atom": -0.154}

=====

What is the formula in the tenth record?
ScCr2BiH